Entry 1:
A plane-wave DFT calculation with PBE was carried out for KHf3Hg after structural relaxation.

It has space group Pm-3m (No. 221), with a = 4.945 Å, b = 4.945 Å, c = 4.945 Å, α = 90.00°, β = 90.00° and γ = 90.00°. Symmetry generates all atoms from K at (0.000, 0.000, 0.000), Hf at (0.000, 0.000, 0.500) and Hg at (0.500, 0.500, 0.500).

As for the magnetization: 0.243 μB/atom. Its relative energy among the computed polymorphs is 806 meV/atom. The theoretical density is 10.64 g/cm³.

***

Entry 2:
A plane-wave DFT calculation with PBE was carried out for NiBTeN2 after structural relaxation.

It has space group P4/mmm (No. 123), with a = 3.464 Å, b = 3.464 Å, c = 7.921 Å, α = 90.00°, β = 90.00° and γ = 90.00°. Symmetry generates all atoms from Ni at (0.000, 0.000, 0.000), B at (0.500, 0.500, 0.500), Te at (0.000, 0.000, 0.500) and N at (0.000, 0.500, 0.000).

As for the magnetization: 0.000 μB/atom. Its uncorrected formation energy is 1.603 eV per atom. Its relative energy among the computed polymorphs is 320 meV/atom. The theoretical density is 3.93 g/cm³.

***

Entry 3:
A plane-wave DFT calculation with PBE was carried out for TlTe2Au after structural relaxation.

It has space group Cmmm (No. 65), with a = 8.361 Å, b = 8.377 Å, c = 3.169 Å, α = 90.00°, β = 90.00° and γ = 90.00°. Symmetry generates all atoms from Tl at (0.000, 0.000, 0.000), Te at (0.250, 0.250, 0.500) and Au at (0.000, 0.500, 0.000).

As for the magnetization: 0.000 μB/atom. Its uncorrected formation energy is 0.178 eV per atom. The theoretical density is 9.82 g/cm³.

***

> Which value of theoretical density does entry 2 give?

3.93 g/cm³